No. 1
# PBE MnAuS2, optimized geometry
data_MnAuS2
_chemical_formula_sum 'Mn4 Au4 S8'
_space_group_name_H-M_alt 'P 1'
_space_group_IT_number 1
_cell_length_a 5.428
_cell_length_b 5.428
_cell_length_c 10.341
_cell_angle_alpha 90.00
_cell_angle_beta 90.00
_cell_angle_gamma 90.00
loop_
_space_group_symop_operation_xyz
'x,y,z'
loop_
_atom_site_label
_atom_site_type_symbol
_atom_site_fract_x
_atom_site_fract_y
_atom_site_fract_z
Mn1 Mn 0.000 0.000 0.000
Mn2 Mn 0.000 0.500 0.250
Mn3 Mn 0.500 0.000 0.750
Mn4 Mn 0.500 0.500 0.500
Au1 Au 0.000 0.000 0.500
Au2 Au 0.000 0.500 0.750
Au3 Au 0.500 0.000 0.250
Au4 Au 0.500 0.500 0.000
S1 S 0.193 0.250 0.125
S2 S 0.250 0.693 0.375
S3 S 0.250 0.807 0.875
S4 S 0.307 0.250 0.625
S5 S 0.693 0.750 0.625
S6 S 0.750 0.193 0.875
S7 S 0.750 0.307 0.375
S8 S 0.807 0.750 0.125
# crystal system: tetragonal
# total magnetic moment: 0.00 μB per cell
# VASP energy: -5.263 eV per atom
# energy relative to the elements, uncorrected: -87 meV per atom

***

No. 2
# PBE MnAuS2, optimized geometry
data_MnAuS2
_chemical_formula_sum 'Mn4 Au4 S8'
_space_group_name_H-M_alt 'P 1'
_space_group_IT_number 1
_cell_length_a 6.699
_cell_length_b 4.706
_cell_length_c 14.485
_cell_angle_alpha 90.00
_cell_angle_beta 117.51
_cell_angle_gamma 90.00
loop_
_space_group_symop_operation_xyz
'x,y,z'
loop_
_atom_site_label
_atom_site_type_symbol
_atom_site_fract_x
_atom_site_fract_y
_atom_site_fract_z
Mn1 Mn 0.250 0.000 0.000
Mn2 Mn 0.250 0.500 0.500
Mn3 Mn 0.750 0.000 0.000
Mn4 Mn 0.750 0.500 0.500
Au1 Au 0.250 0.244 0.250
Au2 Au 0.250 0.256 0.750
Au3 Au 0.750 0.744 0.250
Au4 Au 0.750 0.756 0.750
S1 S 0.119 0.598 0.619
S2 S 0.119 0.902 0.119
S3 S 0.380 0.585 0.380
S4 S 0.380 0.915 0.880
S5 S 0.620 0.085 0.120
S6 S 0.620 0.415 0.620
S7 S 0.881 0.098 0.881
S8 S 0.881 0.402 0.381
# crystal system: monoclinic
# total magnetic moment: 16.00 μB per cell
# VASP energy: -5.421 eV per atom
# energy relative to the elements, uncorrected: -245 meV per atom